<a>
BeNiBiMo | PBE-GGA | relaxed

Lattice parameters (Å, degrees): 4.434 4.434 4.434 60.00 60.00 60.00
Fractional coordinates of all 4 atoms:
Be (0.500, 0.500, 0.500)
Bi (0.000, 0.000, 0.000)
Mo (0.250, 0.250, 0.250)
Ni (0.750, 0.750, 0.750)

Properties
Its symmetry is No. 216. For the volume, the calculation gives 15.4 Å³/atom.

<b>
BeNiBiMo | PBE-GGA | relaxed

Lattice parameters (Å, degrees): 4.474 4.474 4.474 60.00 60.00 60.00
Fractional coordinates of all 4 atoms:
Be (0.250, 0.250, 0.250)
Bi (0.000, 0.000, 0.000)
Mo (0.500, 0.500, 0.500)
Ni (0.750, 0.750, 0.750)

Properties
Its symmetry is No. 216. For the volume, the calculation gives 15.8 Å³/atom.

Stability verdict: <a>, ahead by 0.104 eV/atom